Co3SF PBE+U relaxed; space group = Pm-3m, No. 221; VASP energy = -4.162 eV/atom
1.0
4.2370 0.0000 0.0000
0.0000 4.2370 0.0000
0.0000 0.0000 4.2370
Co S F
3 1 1
direct
0.0000 0.0000 0.5000
0.0000 0.5000 0.0000
0.5000 0.0000 0.0000
0.0000 0.0000 0.0000
0.5000 0.5000 0.5000